SrPr2In2Ag2: optimized geometry, PBE-GGA.

Unit cell a=4.9703 b=4.9703 c=10.1199 alpha=75.78 beta=75.78 gamma=60.00
Sites, in units of the cell vectors:
Ag 0.4080 0.4080 0.7760
Ag 0.5920 0.5920 0.2240
In 0.2553 0.2553 0.2341
In 0.7447 0.7447 0.7659
Sr 0.0000 0.0000 0.0000
Pr 0.1279 0.1279 0.6164
Pr 0.8721 0.8721 0.3836

Values from the calculation:
Total energy, eV per atom: -3.507
DFT formation energy, eV/atom: -0.304
Magnetic moment, μB/atom: 0.00